(1)
Computed, not measured: crystalline ZrNb2 at its relaxed geometry at the PBE-GGA level of DFT.

Cell lengths 3.392, 3.392, 5.711 Å; angles 107.27, 107.27, 90.00 degrees
Fractional coordinates of all 3 atoms:
Nb  0.682  0.682  0.363
Nb  0.318  0.318  0.637
Zr  0.000  0.000  0.000

Calculated values
* density of states at the Fermi level: 4.3 states/eV per cell
* DFT formation energy: 21 meV per atom


(2)
Computed, not measured: crystalline ZrNb5 at its relaxed geometry at the PBE-GGA level of DFT.

Cell lengths 4.754, 4.731, 5.578 Å; angles 90.00, 64.78, 90.00 degrees
Fractional coordinates of all 6 atoms:
Zr  0.000  0.500  0.500
Nb  0.500  0.000  0.500
Nb  0.826  0.000  0.848
Nb  0.174  0.000  0.152
Nb  0.327  0.500  0.846
Nb  0.673  0.500  0.154

Calculated values
* density of states at the Fermi level: 10.5 states/eV per cell
* DFT formation energy: 24 meV per atom
* energy relative to the lowest polymorph listed for this composition: 0.0 kJ per mole of atoms


(3)
Computed, not measured: crystalline ZrNb2 at its relaxed geometry at the PBE-GGA level of DFT.

Cell lengths 5.606, 5.606, 8.923 Å; angles 90.00, 90.00, 120.00 degrees
Fractional coordinates of all 12 atoms:
Zr  0.333  0.667  0.064
Zr  0.667  0.333  0.564
Zr  0.667  0.333  0.936
Zr  0.333  0.667  0.436
Nb  0.000  0.000  0.000
Nb  0.000  0.000  0.500
Nb  0.829  0.657  0.250
Nb  0.171  0.343  0.750
Nb  0.343  0.171  0.250
Nb  0.829  0.171  0.250
Nb  0.171  0.829  0.750
Nb  0.657  0.829  0.750

Calculated values
* density of states at the Fermi level: 19.5 states/eV per cell
* DFT formation energy: 4 meV per atom